Compound: BaTbAs
Source: OQMD via LeMat-Bulk
Functional: PBE
Structure: relaxed

The offset from the most stable computed form is 0.938 eV per atom. The total magnetization is 0.276 Bohr magnetons per cell. Its volume is 35.3 A^3/atom.

The space group is F-43m (No. 216) and the conventional cell measures 7.507, 7.507 and 7.507 Å, with angles of 90.00, 90.00 and 90.00 degrees. The asymmetric unit holds Ba at (0.000, 0.000, 0.000), Tb at (0.250, 0.250, 0.250) and As at (0.250, 0.250, 0.750).

***

Compound: BaTcAs2
Source: OQMD via LeMat-Bulk
Functional: PBE
Structure: relaxed

The offset from the most stable computed form is 0.862 eV per atom. The total magnetization is 2.725 Bohr magnetons per cell. Its volume is 25.9 A^3/atom.

The space group is P4/mmm (No. 123) and the conventional cell measures 4.237, 4.237 and 5.780 Å, with angles of 90.00, 90.00 and 90.00 degrees. The asymmetric unit holds Ba at (0.000, 0.000, 0.000), Tc at (0.500, 0.500, 0.500), As at (0.000, 0.000, 0.500) and As at (0.500, 0.500, 0.000).

***

Compound: BaTcAs2
Source: OQMD via LeMat-Bulk
Functional: PBE
Structure: relaxed

The offset from the most stable computed form is 0.000 eV per atom. The total magnetization is 0.071 Bohr magnetons per cell. Its volume is 24.0 A^3/atom.

The space group is Cmcm (No. 63) and the conventional cell measures 4.645, 17.463 and 4.742 Å, with angles of 90.00, 90.00 and 90.00 degrees. The asymmetric unit holds Ba at (0.000, 0.102, 0.250), Tc at (0.000, 0.311, 0.250), As at (0.000, 0.250, 0.750) and As at (0.000, 0.447, 0.250).

***

Compound: BaTcAs2
Source: OQMD via LeMat-Bulk
Functional: PBE
Structure: relaxed

The offset from the most stable computed form is 1.100 eV per atom. The total magnetization is 7.119 Bohr magnetons per cell. Its volume is 22.3 A^3/atom.

The space group is F-43m (No. 216) and the conventional cell measures 7.098, 7.098 and 7.098 Å, with angles of 90.00, 90.00 and 90.00 degrees. The asymmetric unit holds Ba at (0.000, 0.000, 0.000), Tc at (0.250, 0.250, 0.750), As at (0.000, 0.000, 0.500) and As at (0.250, 0.250, 0.250).

***

Compound: BaTc2As2
Source: OQMD via LeMat-Bulk
Functional: PBE
Structure: relaxed

The total magnetization is 0.059 Bohr magnetons per cell. The value obtained for the raw total energy is -68.9 eV/cell. Its volume is 22.1 A^3/atom.

The space group is I4/mmm (No. 139) and the conventional cell measures 4.094, 4.094 and 13.177 Å, with angles of 90.00, 90.00 and 90.00 degrees. The asymmetric unit holds Ba at (0.000, 0.000, 0.000), Tc at (0.000, 0.500, 0.250) and As at (0.000, 0.000, 0.358).

***

Compound: BaAsW
Source: OQMD via LeMat-Bulk
Functional: PBE
Structure: relaxed

The offset from the most stable computed form is 0.000 eV per atom. The total magnetization is 17.319 Bohr magnetons per cell. Its volume is 30.3 A^3/atom.

The space group is F-43m (No. 216) and the conventional cell measures 7.140, 7.140 and 7.140 Å, with angles of 90.00, 90.00 and 90.00 degrees. The asymmetric unit holds Ba at (0.000, 0.000, 0.000), As at (0.250, 0.250, 0.250) and W at (0.000, 0.000, 0.500).